Entry from Alexandria: an optimized crystal structure of Cs3Rb2HgF9 (PBE). Values from VASP.

Summary:
Uncorrected formation energy (kJ/mol of formula units): -3113
Fermi-level density of states (states/eV per cell): 10.02

```
&SYSTEM
  ibrav = 0, nat = 15, ntyp = 4
/
ATOMIC_SPECIES
Cs 132.91 Cs.upf
Rb 85.47 Rb.upf
Hg 200.59 Hg.upf
F 19.00 F.upf
CELL_PARAMETERS angstrom
7.0957 0.0000 0.0000
-3.5478 6.1450 0.0000
0.0000 0.0000 8.5037
ATOMIC_POSITIONS crystal
Cs 0.3333 0.6667 0.7385
Cs 0.0000 0.0000 0.0000
Cs 0.6667 0.3333 0.2615
Rb 0.3333 0.6667 0.1985
Rb 0.6667 0.3333 0.8015
Hg 0.0000 0.0000 0.5000
F 0.8594 0.1406 0.6508
F 0.8594 0.7188 0.6508
F 0.2812 0.1406 0.6508
F 0.7188 0.8594 0.3492
F 0.1406 0.2812 0.3492
F 0.1406 0.8594 0.3492
F 0.5000 0.0000 0.0000
F 0.0000 0.5000 0.0000
F 0.5000 0.5000 0.0000
```